Entry 1:
The following is a PBE calculation of LaMgTl after structural relaxation, from Alexandria.

The calculation puts the formation enthalpy at 0 K at -0.271 eV/atom. For the total energy, the calculation gives -19.40 eV/cell. As for the crystal system: orthorhombic. As for the space group: No. 44. Its volume is 175 Å³/cell.

Geometry as POSCAR:
```
LaMgTl
1.0
5.0723 -0.0026 -0.0023
2.5387 5.9019 0.0197
2.5386 0.9019 5.8327
Mg Tl La
2 2 2
Direct
0.5381 0.9764 0.9515 Mg
0.8740 0.6404 0.6159 Mg
0.5331 0.4324 0.5055 Tl
0.8791 0.0867 0.1595 Tl
0.2061 0.5343 0.0580 La
0.2062 0.0410 0.5510 La
```

Entry 2:
The following is a PBE calculation of LaMgTl2 after structural relaxation, from Alexandria.

The calculation puts the formation enthalpy at 0 K at -0.106 eV/atom. For the total energy, the calculation gives -11.68 eV/cell. As for the crystal system: orthorhombic. As for the space group: No. 65. The polymorph energy (0 for the lowest one) is 0.207 eV/atom. Its volume is 115 Å³/cell.

Geometry as POSCAR:
```
LaMgTl2
1.0
-1.9127 -1.8069 -2.2589
2.9110 -1.6609 0.8907
-4.9758 -4.5218 7.8301
La Mg Tl
1 1 2
Direct
0.5000 0.5000 0.2500 La
0.5000 0.5000 0.7500 Mg
0.0000 0.0000 0.9793 Tl
0.0000 0.0000 0.5207 Tl
```

Entry 3:
The following is a PBE calculation of LaMg3Tl3 after structural relaxation, from Alexandria.

The calculation puts the formation enthalpy at 0 K at 0.763 eV/atom. For the total energy, the calculation gives -22.94 eV/cell. As for the crystal system: cubic. As for the space group: No. 225. The polymorph energy (0 for the lowest one) is 0.457 eV/atom. Its volume is 644 Å³/cell.

Geometry as POSCAR:
```
LaMg3Tl3
1.0
0.0000 6.8536 6.8536
6.8536 0.0000 6.8536
6.8536 6.8536 0.0000
La Mg Tl
2 6 6
Direct
0.2500 0.2500 0.2500 La
0.7500 0.7500 0.7500 La
0.8501 0.1499 0.8501 Mg
0.1499 0.1499 0.8501 Mg
0.8501 0.1499 0.1499 Mg
0.8501 0.8501 0.1499 Mg
0.1499 0.8501 0.1499 Mg
0.1499 0.8501 0.8501 Mg
0.3407 0.3407 0.6593 Tl
0.6593 0.3407 0.6593 Tl
0.6593 0.3407 0.3407 Tl
0.6593 0.6593 0.3407 Tl
0.3407 0.6593 0.3407 Tl
0.3407 0.6593 0.6593 Tl
```

Entry 4:
The following is a PBE calculation of LaMgTl2 after structural relaxation, from Alexandria.

The calculation puts the formation enthalpy at 0 K at -0.020 eV/atom. For the total energy, the calculation gives -22.67 eV/cell. As for the crystal system: tetragonal. As for the space group: No. 122. The polymorph energy (0 for the lowest one) is 0.294 eV/atom. Its volume is 256 Å³/cell.

Geometry as POSCAR:
```
LaMgTl2
1.0
-2.6430 3.7149 1.9717
-0.3220 -2.5006 4.2799
7.2828 5.1001 6.4102
Tl Mg La
4 2 2
Direct
0.5751 0.1250 0.2500 Tl
0.1749 0.6250 0.2500 Tl
0.3750 0.4249 0.7500 Tl
0.8750 0.8251 0.7500 Tl
0.5000 0.5000 0.0000 Mg
0.2500 0.7500 0.5000 Mg
0.0000 0.0000 0.0000 La
0.7500 0.2500 0.5000 La
```

Entry 5:
The following is a PBE calculation of La3MgTl4 after structural relaxation, from Alexandria.

The calculation puts the formation enthalpy at 0 K at -0.344 eV/atom. For the total energy, the calculation gives -28.60 eV/cell. As for the crystal system: tetragonal. As for the space group: No. 123. Its volume is 234 Å³/cell.

Geometry as POSCAR:
```
La3MgTl4
1.0
-1.2001 -3.2638 1.3009
-0.3025 -1.2736 -3.4744
16.0120 -5.6221 0.6668
Mg Tl La
1 4 3
Direct
0.5000 0.5000 0.0000 Mg
0.0000 0.0000 0.8982 Tl
0.0000 0.0000 0.1018 Tl
0.0000 0.0000 0.3661 Tl
0.0000 0.0000 0.6339 Tl
0.5000 0.5000 0.2348 La
0.5000 0.5000 0.5000 La
0.5000 0.5000 0.7652 La
```

Entry 6:
The following is a PBE calculation of La4MgTl2 after structural relaxation, from Alexandria.

The calculation puts the formation enthalpy at 0 K at -0.151 eV/atom. For the total energy, the calculation gives -54.19 eV/cell. As for the crystal system: monoclinic. As for the space group: No. 11. The polymorph energy (0 for the lowest one) is 0.079 eV/atom. Its volume is 455 Å³/cell.

Geometry as POSCAR:
```
La4MgTl2
1.0
8.3542 0.0000 -0.7303
0.0000 6.6425 0.0000
-4.1436 0.0000 8.5540
La Mg Tl
8 2 4
Direct
0.5508 0.4918 0.2222 La
0.0565 0.7500 0.8898 La
0.9435 0.2500 0.1102 La
0.5508 0.0082 0.2222 La
0.0373 0.2500 0.5048 La
0.4492 0.9918 0.7778 La
0.4492 0.5082 0.7778 La
0.9627 0.7500 0.4952 La
0.2321 0.7500 0.3209 Mg
0.7679 0.2500 0.6791 Mg
0.8160 0.7500 0.0957 Tl
0.1840 0.2500 0.9043 Tl
0.3720 0.2500 0.4253 Tl
0.6280 0.7500 0.5747 Tl
```

Entry 7:
The following is a PBE calculation of La6MgTl2 after structural relaxation, from Alexandria.

The calculation puts the formation enthalpy at 0 K at -0.196 eV/atom. For the total energy, the calculation gives -37.66 eV/cell. As for the crystal system: orthorhombic. As for the space group: No. 71. The polymorph energy (0 for the lowest one) is 0.000 eV/atom. Its volume is 289 Å³/cell.

Geometry as POSCAR:
```
La6MgTl2
1.0
-2.4119 -2.8010 -0.5433
7.9067 -4.5050 0.9881
-8.6303 0.9991 7.4364
La Mg Tl
6 1 2
Direct
0.3442 0.3381 0.3249 La
0.6558 0.6619 0.6751 La
0.3469 0.0000 0.6520 La
0.3442 0.6619 0.9868 La
0.6558 0.3381 0.0132 La
0.6531 0.0000 0.3480 La
0.0000 0.0000 0.0000 Mg
0.0000 0.3327 0.6664 Tl
0.0000 0.6673 0.3336 Tl
```

Entry 8:
The following is a PBE calculation of LaMgTl2 after structural relaxation, from Alexandria.

The calculation puts the formation enthalpy at 0 K at -0.227 eV/atom. For the total energy, the calculation gives -12.16 eV/cell. As for the crystal system: monoclinic. As for the space group: No. 12. The polymorph energy (0 for the lowest one) is 0.086 eV/atom. Its volume is 117 Å³/cell.

Geometry as POSCAR:
```
LaMgTl2
1.0
4.0005 0.0000 0.0000
-2.0002 4.7879 -0.0358
0.0000 -1.7225 6.1255
La Mg Tl
1 1 2
Direct
0.5000 0.0000 0.0000 La
0.0000 0.0000 0.5000 Mg
0.7386 0.4772 0.7061 Tl
0.2614 0.5228 0.2939 Tl
```

Entry 9:
The following is a PBE calculation of La2Mg2Tl after structural relaxation, from Alexandria.

The calculation puts the formation enthalpy at 0 K at -0.200 eV/atom. For the total energy, the calculation gives -32.82 eV/cell. As for the crystal system: monoclinic. As for the space group: No. 12. The polymorph energy (0 for the lowest one) is 0.000 eV/atom. Its volume is 292 Å³/cell.

Geometry as POSCAR:
```
La2Mg2Tl
1.0
5.2714 0.0000 0.0000
2.6357 5.7095 -1.0703
2.6357 -1.0969 9.8914
La Mg Tl
4 4 2
Direct
0.6915 0.2625 0.3545 La
0.8890 0.2836 0.9385 La
0.3085 0.7375 0.6455 La
0.1110 0.7164 0.0615 La
0.0511 0.3125 0.5854 Mg
0.6549 0.8318 0.8584 Mg
0.9489 0.6875 0.4146 Mg
0.3451 0.1682 0.1416 Mg
0.5554 0.1881 0.7010 Tl
0.4446 0.8119 0.2990 Tl
```

Entry 10:
The following is a PBE calculation of La2MgTl8 after structural relaxation, from Alexandria.

The calculation puts the formation enthalpy at 0 K at -0.246 eV/atom. For the total energy, the calculation gives -33.09 eV/cell. As for the crystal system: tetragonal. As for the space group: No. 123. Its volume is 320 Å³/cell.

Geometry as POSCAR:
```
La2MgTl8
1.0
5.0595 0.0000 0.0000
0.0000 5.0595 0.0000
0.0000 0.0000 12.5179
La Mg Tl
2 1 8
Direct
0.0000 0.0000 0.3098 La
0.0000 0.0000 0.6902 La
0.0000 0.0000 0.0000 Mg
0.0000 0.5000 0.5000 Tl
0.5000 0.0000 0.5000 Tl
0.5000 0.5000 0.3118 Tl
0.5000 0.5000 0.6882 Tl
0.0000 0.5000 0.1305 Tl
0.5000 0.0000 0.1305 Tl
0.0000 0.5000 0.8695 Tl
0.5000 0.0000 0.8695 Tl
```

Entry 11:
The following is a PBE calculation of LaMgTl after structural relaxation, from Alexandria.

The calculation puts the formation enthalpy at 0 K at -0.283 eV/atom. For the total energy, the calculation gives -19.48 eV/cell. As for the crystal system: orthorhombic. As for the space group: No. 44. Its volume is 174 Å³/cell.

Geometry as POSCAR:
```
LaMgTl
1.0
-1.8777 -4.1283 4.5194
-1.6991 -1.1807 -4.6491
3.5591 -4.4204 -2.9634
Mg Tl La
2 2 2
Direct
0.7767 0.5249 0.1044 Mg
0.3226 0.0708 0.5591 Mg
0.4504 0.5332 0.7622 Tl
0.9803 0.0628 0.2322 Tl
0.8813 0.2980 0.6631 La
0.3826 0.7977 0.1649 La
```

Entry 12:
The following is a PBE calculation of La8MgTl2 after structural relaxation, from Alexandria.

The calculation puts the formation enthalpy at 0 K at -0.125 eV/atom. For the total energy, the calculation gives -47.12 eV/cell. As for the crystal system: orthorhombic. As for the space group: No. 71. Its volume is 374 Å³/cell.

Geometry as POSCAR:
```
La8MgTl2
1.0
5.0708 0.0000 -1.5397
-1.1205 8.2978 -3.6902
0.0545 -0.9022 9.2990
La Mg Tl
8 1 2
Direct
0.6551 0.8765 0.3102 La
0.3449 0.5663 0.6899 La
0.1444 0.1443 0.2887 La
0.0000 0.3325 0.0000 La
0.8556 0.8557 0.7113 La
0.6551 0.4337 0.3101 La
0.3449 0.1235 0.6898 La
0.0000 0.6675 0.0000 La
0.5000 0.0000 0.0000 Mg
0.1991 0.6991 0.3982 Tl
0.8009 0.3009 0.6018 Tl
```

Entry 13:
The following is a PBE calculation of La3Mg5Tl2 after structural relaxation, from Alexandria.

The calculation puts the formation enthalpy at 0 K at -0.109 eV/atom. For the total energy, the calculation gives -57.15 eV/cell. As for the crystal system: orthorhombic. As for the space group: No. 72. Its volume is 588 Å³/cell.

Geometry as POSCAR:
```
La3Mg5Tl2
1.0
-0.0754 5.2996 3.8480
-9.3438 1.5084 3.3137
2.0293 -2.7658 9.4231
La Mg Tl
6 10 4
Direct
0.2500 0.0000 0.0000 La
0.7500 0.0000 0.0000 La
0.3749 0.3777 0.8726 La
0.6251 0.6223 0.1274 La
0.8749 0.8726 0.3777 La
0.1251 0.1274 0.6223 La
0.2500 0.5000 0.5000 Mg
0.7500 0.5000 0.5000 Mg
0.5058 0.7442 0.7442 Mg
0.9942 0.2558 0.2558 Mg
0.4942 0.2558 0.2558 Mg
0.0058 0.7442 0.7442 Mg
0.1205 0.5202 0.2389 Mg
0.8795 0.4798 0.7611 Mg
0.6205 0.2389 0.5202 Mg
0.3795 0.7611 0.4798 Mg
0.1390 0.7045 0.0175 Tl
0.8610 0.2955 0.9825 Tl
0.6390 0.0175 0.7045 Tl
0.3610 0.9825 0.2955 Tl
```

Entry 14:
The following is a PBE calculation of La4MgTl after structural relaxation, from Alexandria.

The calculation puts the formation enthalpy at 0 K at 0.013 eV/atom. For the total energy, the calculation gives -23.59 eV/cell. As for the crystal system: monoclinic. As for the space group: No. 12. The polymorph energy (0 for the lowest one) is 0.000 eV/atom. Its volume is 204 Å³/cell.

Geometry as POSCAR:
```
La4MgTl
1.0
6.6027 -0.7377 1.4758
2.3318 5.5613 -0.3314
0.1356 -2.1277 5.6506
La Mg Tl
4 1 1
Direct
0.7378 0.5595 0.9593 La
0.7379 0.9593 0.5595 La
0.2621 0.4405 0.0407 La
0.2621 0.0407 0.4405 La
0.0000 0.0000 0.0000 Mg
0.5000 0.5000 0.5000 Tl
```

Entry 15:
The following is a PBE calculation of LaMgTl after structural relaxation, from Alexandria.

The calculation puts the formation enthalpy at 0 K at -0.309 eV/atom. For the total energy, the calculation gives -9.82 eV/cell. As for the crystal system: hexagonal. As for the space group: No. 187. Its volume is 87 Å³/cell.

Geometry as POSCAR:
```
LaMgTl
1.0
5.0755 0.0000 0.0000
-2.5377 4.3955 0.0000
0.0000 0.0000 3.8783
Tl Mg La
1 1 1
Direct
0.6667 0.3333 0.4998 Tl
0.3333 0.6667 0.5001 Mg
0.0000 0.0000 0.0001 La
```

Entry 16:
The following is a PBE calculation of LaMgTl2 after structural relaxation, from Alexandria.

The calculation puts the formation enthalpy at 0 K at -0.217 eV/atom. For the total energy, the calculation gives -12.12 eV/cell. As for the crystal system: orthorhombic. As for the space group: No. 44. The polymorph energy (0 for the lowest one) is 0.096 eV/atom. Its volume is 115 Å³/cell.

Geometry as POSCAR:
```
LaMgTl2
1.0
-5.9527 -0.8187 -0.3239
-3.4108 -4.4377 -2.2096
-1.7179 -2.9633 3.3714
La Mg Tl
1 1 2
Direct
0.4992 0.4992 0.5008 La
0.7492 0.7492 0.7508 Mg
0.0015 0.0015 0.9985 Tl
0.2501 0.2501 0.2498 Tl
```

Entry 17:
The following is a PBE calculation of LaMgTl after structural relaxation, from Alexandria.

The calculation puts the formation enthalpy at 0 K at -0.225 eV/atom. For the total energy, the calculation gives -19.13 eV/cell. As for the crystal system: triclinic. As for the space group: No. 1. Its volume is 171 Å³/cell.

Geometry as POSCAR:
```
LaMgTl
1.0
7.6475 -0.0139 0.0043
0.0084 4.7160 -0.0051
1.6487 -4.7199 4.7529
Mg Tl La
2 2 2
Direct
0.5534 0.5335 0.4000 Mg
0.8529 0.8824 0.2490 Mg
0.5608 0.5295 0.8959 Tl
0.2277 0.1972 0.5640 Tl
0.2255 0.1986 0.0649 La
0.8876 0.8649 0.7318 La
```

Entry 18:
The following is a PBE calculation of LaMgTl2 after structural relaxation, from Alexandria.

The calculation puts the formation enthalpy at 0 K at -0.300 eV/atom. For the total energy, the calculation gives -12.46 eV/cell. As for the crystal system: monoclinic. As for the space group: No. 12. The polymorph energy (0 for the lowest one) is 0.013 eV/atom. Its volume is 115 Å³/cell.

Geometry as POSCAR:
```
LaMgTl2
1.0
-3.5569 2.5525 2.2281
-1.5170 -1.3136 4.4838
2.0739 3.7109 4.4847
Tl Mg La
2 1 1
Direct
0.0212 0.0212 0.9363 Tl
0.4788 0.4788 0.5637 Tl
0.7500 0.7500 0.7500 Mg
0.2500 0.2500 0.2500 La
```

Entry 19:
The following is a PBE calculation of LaMgTl after structural relaxation, from Alexandria.

The calculation puts the formation enthalpy at 0 K at -0.273 eV/atom. For the total energy, the calculation gives -19.41 eV/cell. As for the crystal system: orthorhombic. As for the space group: No. 74. Its volume is 167 Å³/cell.

Geometry as POSCAR:
```
LaMgTl
1.0
-1.2077 -1.6562 5.8078
-3.9501 -4.6651 0.7526
2.0472 -5.2603 2.0203
Mg Tl La
2 2 2
Direct
0.2630 0.7414 0.0437 Mg
0.2630 0.7414 0.5438 Mg
0.7630 0.7412 0.0440 Tl
0.2630 0.2413 0.0439 Tl
0.6489 0.1272 0.4084 La
0.8770 0.3553 0.6796 La
```

Entry 20:
The following is a PBE calculation of LaMg6Tl6 after structural relaxation, from Alexandria.

The calculation puts the formation enthalpy at 0 K at -0.129 eV/atom. For the total energy, the calculation gives -30.38 eV/cell. As for the crystal system: orthorhombic. As for the space group: No. 71. Its volume is 332 Å³/cell.

Geometry as POSCAR:
```
LaMg6Tl6
1.0
-6.1747 -0.6814 -0.3349
-3.4357 -0.7718 7.1321
-3.9364 6.8615 0.8317
La Mg Tl
1 6 6
Direct
0.0000 0.0000 0.0000 La
0.0000 0.5000 0.0000 Mg
0.5000 0.5000 0.0000 Mg
0.0000 0.0000 0.5000 Mg
0.5000 0.0000 0.5000 Mg
0.5000 0.7565 0.2435 Mg
0.5000 0.2435 0.7565 Mg
0.3394 0.6606 0.6606 Tl
0.6606 0.3394 0.3394 Tl
0.0000 0.3439 0.6561 Tl
0.0000 0.6561 0.3439 Tl
0.3317 0.1683 0.1683 Tl
0.6683 0.8317 0.8317 Tl
```